VASP calculation (GGA+U) on CoBi2O5 after structural relaxation.

Cell and atoms, written as POSCAR:
```
CoBi2O5
1.0
7.856 -3.512 0.000
7.856 3.512 0.000
-5.930 0.000 9.231
Co Bi O
4 8 20
direct
0.085 0.303 0.305
0.303 0.085 0.805
0.697 0.915 0.195
0.915 0.697 0.695
0.196 0.729 0.519
0.242 0.474 0.154
0.271 0.804 0.981
0.474 0.242 0.654
0.526 0.758 0.346
0.729 0.196 0.019
0.758 0.526 0.846
0.804 0.271 0.481
0.068 0.124 0.115
0.124 0.068 0.615
0.125 0.296 0.931
0.175 0.575 0.671
0.179 0.450 0.318
0.296 0.125 0.431
0.360 0.620 0.118
0.380 0.640 0.382
0.425 0.825 0.829
0.450 0.179 0.818
0.550 0.821 0.182
0.575 0.175 0.171
0.620 0.360 0.618
0.640 0.380 0.882
0.704 0.875 0.569
0.821 0.550 0.682
0.825 0.425 0.329
0.875 0.704 0.069
0.876 0.932 0.385
0.932 0.876 0.885
```

Results
* Fermi-level density of states: 0.22 states/eV per atom
* electronic total energy: -5.72 eV per atom
* total moment: 3.82 μB/f.u.